A relaxed CaTlAuSeNF crystal, computed with GGA-PBE.

```
6
Lattice="4.5200 0.0000 0.0000 0.0324 5.5983 0.0000 0.0158 2.5020 5.3078" Properties=species:S:1:pos:R:3 pbc="T T T"
Ca 0.0000 0.0000 0.0000
Tl 2.3145 5.4738 4.9681
Au 0.0498 4.5059 2.9568
Se 0.1104 2.1633 2.1520
N 0.0689 6.4721 3.6441
F 2.2962 5.6286 0.1740
```

Calculated values
The calculation puts the offset from the most stable computed form at 0.40 eV/f.u. The uncorrected formation energy is -0.819 eV per atom. As for the space-group type: P1. As for the total energy: -0.32141 Ry/atom.